DFT (GGA-PBE) results for a relaxed structure of KRuRh. Values from VASP.

Cell and atoms, written as Quantum ESPRESSO input:
```
&SYSTEM
  ibrav = 0, nat = 6, ntyp = 3
/
ATOMIC_SPECIES
K 39.10 K.upf
Ru 101.07 Ru.upf
Rh 102.91 Rh.upf
CELL_PARAMETERS angstrom
2.7598 0.0000 0.0000
1.3647 6.3699 0.0000
0.0003 2.4255 7.4351
ATOMIC_POSITIONS crystal
K 0.0000 0.0000 0.0000
K 0.0076 0.0000 0.5000
Ru 0.2866 0.4305 0.6387
Ru 0.7180 0.5695 0.3614
Rh 0.2876 0.4299 0.1471
Rh 0.7180 0.5704 0.8528
```

## Properties
Magnetic moment in Bohr magnetons per cell: 0.00
DOS(E_F) in states/eV per cell: 5.024
Calculated density in Mg/m³: 6.18
Relative energy among the computed polymorphs in meV per atom: 61
Formation energy from the elements in eV per atom: 0.545